Material: Na4Ac3NpSe8
Method: DFT, PBE
State: relaxed

Cell: 8.9093 8.6916 8.9057 Å, 120.86 120.01 90.00°
Closest atoms and distances in Å follow each position.
Fractional coordinates of all 16 atoms:
Se  0.7591  0.7386  0.9990  1 Np 2.98, 2 Ac 3.11, 3 Na 3.11-3.24
Ac  0.5000  0.5000  0.5000  6 Se 3.10-3.11
Se  0.2400  0.7387  0.4800  1 Np 2.98, 2 Ac 3.11, 3 Na 3.12-3.23
Np  0.0000  0.5000  0.0000  6 Se 2.98
Se  0.7601  0.2614  0.0010  1 Np 2.98, 2 Ac 3.11, 3 Na 3.11-3.24
Se  0.7492  0.7472  0.4984  3 Ac 3.10, 3 Na 3.12
Se  0.2508  0.2528  0.5016  3 Ac 3.10, 3 Na 3.12
Se  0.7600  0.2613  0.5200  1 Np 2.98, 2 Ac 3.11, 3 Na 3.12-3.23
Na  0.5000  0.0000  0.5000  6 Se 3.11-3.12
Na  0.5000  0.0000  0.0000  6 Se 3.23-3.24
Se  0.2399  0.7386  0.9990  1 Np 2.98, 2 Ac 3.11, 3 Na 3.11-3.24
Na  0.0000  0.0000  0.0000  6 Se 3.12
Na  0.0000  0.0000  0.5000  6 Se 3.11-3.12
Se  0.2409  0.2614  0.0010  1 Np 2.98, 2 Ac 3.11, 3 Na 3.11-3.24
Ac  0.0000  0.5000  0.5000  6 Se 3.10-3.11
Ac  0.5000  0.5000  0.0000  6 Se 3.10-3.11

Crystal system: trigonal
Raw formation energy: -1.579 eV/atom
Fermi-level density of states: 0.235 states/eV/atom
SG: R-3m, No. 166